Record 1
DFT (PBEsol) results for a geometry-optimized SrCoPdPb2 structure.

Formation energy (meV/atom): 1603
SG: No. 123
DOS at the Fermi energy (states/eV per atom): 1.0472
Total magnetic moment (μB/cell): 1.997
Total energy (eV/atom): -3.104

POSCAR file:
```
SrCoPdPb2
1.0
5.935 0.000 0.000
0.000 5.935 0.000
0.000 0.000 4.921
Sr Co Pd Pb
1 1 1 2
Cartesian
0.000 0.000 0.000
2.968 2.968 2.460
0.000 0.000 2.460
0.000 2.968 0.000
2.968 0.000 0.000
```

---

Record 2
DFT (PBEsol) results for a geometry-optimized Ta2CoPdPb structure.

Formation energy (meV/atom): 640
SG: No. 123
DOS at the Fermi energy (states/eV per atom): 0.5398
Total magnetic moment (μB/cell): 0.000
Total energy (eV/atom): -7.920

POSCAR file:
```
Ta2CoPdPb
1.0
4.475 0.000 0.000
0.000 4.475 0.000
0.000 0.000 4.703
Ta Co Pd Pb
2 1 1 1
Cartesian
0.000 2.237 0.000
2.237 0.000 0.000
0.000 0.000 0.000
0.000 0.000 2.352
2.237 2.237 2.352
```